[1]
Here is a relaxed structure of Y3Pu4Se8 from the Alexandria database. Energies are from PBE.

Cell lengths 8.218, 8.225, 8.225 Å; angles 90.08, 120.08, 120.08 degrees
Fractional coordinates of all 15 atoms:
Pu (0.000, 0.500, 0.000)
Pu (0.500, 0.000, 0.000)
Pu (0.000, 0.000, 0.000)
Pu (0.000, 0.000, 0.500)
Se (0.493, 0.745, 0.745)
Se (0.500, 0.748, 0.252)
Se (0.996, 0.745, 0.745)
Se (0.507, 0.255, 0.255)
Se (0.000, 0.746, 0.254)
Se (0.500, 0.252, 0.748)
Se (0.004, 0.255, 0.255)
Se (0.000, 0.254, 0.746)
Y (0.500, 0.500, 0.000)
Y (0.500, 0.500, 0.500)
Y (0.500, 0.000, 0.500)

E_tot: -129.44 eV per formula unit
M_tot: 0.004 μB/atom
uncorrected formation energy: -1.6562 eV per atom
symmetry: C2/m (12)


[2]
Here is a relaxed structure of Y4PuSe5 from the Alexandria database. Energies are from PBE.

Cell lengths 4.112, 5.786, 10.818 Å; angles 105.51, 100.96, 90.00 degrees
Fractional coordinates of all 10 atoms:
Se (0.000, 0.500, 0.000)
Se (0.200, 0.700, 0.401)
Se (0.800, 0.300, 0.599)
Se (0.399, 0.899, 0.798)
Se (0.601, 0.101, 0.202)
Pu (0.000, 0.000, 0.000)
Y (0.599, 0.599, 0.198)
Y (0.401, 0.401, 0.802)
Y (0.199, 0.199, 0.397)
Y (0.801, 0.801, 0.603)

E_tot: -74.99 eV per formula unit
M_tot: 0.589 μB/atom
uncorrected formation energy: -1.7381 eV per atom
symmetry: Immm (71)


[3]
Here is a relaxed structure of Y3Pu5Se8 from the Alexandria database. Energies are from PBE.

Cell lengths 8.237, 8.237, 8.264 Å; angles 60.11, 60.11, 60.00 degrees
Fractional coordinates of all 16 atoms:
Pu (0.000, 0.000, 0.000)
Pu (0.500, 0.500, 0.500)
Pu (0.500, 0.000, 0.000)
Pu (0.000, 0.500, 0.000)
Pu (0.500, 0.500, 0.000)
Se (0.750, 0.750, 0.252)
Se (0.250, 0.250, 0.748)
Se (0.248, 0.248, 0.255)
Se (0.250, 0.752, 0.748)
Se (0.752, 0.752, 0.745)
Se (0.750, 0.248, 0.252)
Se (0.752, 0.250, 0.748)
Se (0.248, 0.750, 0.252)
Y (0.000, 0.500, 0.500)
Y (0.000, 0.000, 0.500)
Y (0.500, 0.000, 0.500)

E_tot: -145.25 eV per formula unit
M_tot: 1.843 μB/atom
uncorrected formation energy: -1.6451 eV per atom
symmetry: R-3m (166)


[4]
Here is a relaxed structure of YPu5Se6 from the Alexandria database. Energies are from PBE.

Cell lengths 7.167, 7.171, 7.170 Å; angles 59.99, 80.40, 70.52 degrees
Fractional coordinates of all 12 atoms:
Pu (0.000, 0.666, 0.667)
Pu (0.500, 0.167, 0.666)
Pu (0.500, 0.833, 0.334)
Pu (0.000, 0.334, 0.333)
Pu (0.500, 0.500, 0.000)
Se (0.249, 0.585, 0.332)
Se (0.751, 0.083, 0.332)
Se (0.751, 0.415, 0.668)
Se (0.250, 0.249, 0.000)
Se (0.750, 0.751, 0.000)
Se (0.249, 0.917, 0.668)
Y (0.000, 0.000, 0.000)

E_tot: -117.96 eV per formula unit
M_tot: 2.415 μB/atom
uncorrected formation energy: -1.5775 eV per atom
symmetry: C2/m (12)


[5]
Here is a relaxed structure of Y2PuSe3 from the Alexandria database. Energies are from PBE.

Cell lengths 4.096, 5.800, 7.122 Å; angles 114.03, 106.71, 90.00 degrees
Fractional coordinates of all 6 atoms:
Se (0.832, 0.332, 0.163)
Se (0.500, 0.000, 0.500)
Se (0.168, 0.668, 0.837)
Y (0.833, 0.833, 0.166)
Y (0.167, 0.167, 0.834)
Pu (0.500, 0.500, 0.500)

E_tot: -48.02 eV per formula unit
M_tot: 0.991 μB/atom
uncorrected formation energy: -1.7169 eV per atom
symmetry: Immm (71)


[6]
Here is a relaxed structure of Y3PuSe4 from the Alexandria database. Energies are from PBE.

Cell lengths 4.084, 7.109, 7.109 Å; angles 109.18, 90.00, 90.00 degrees
Fractional coordinates of all 8 atoms:
Y (0.000, 0.000, 0.500)
Y (0.500, 0.500, 0.500)
Y (0.000, 0.500, 0.000)
Se (0.500, 0.749, 0.251)
Se (0.000, 0.253, 0.253)
Se (0.500, 0.251, 0.749)
Se (0.000, 0.747, 0.747)
Pu (0.500, 0.000, 0.000)

E_tot: -61.51 eV per formula unit
M_tot: 0.743 μB/atom
uncorrected formation energy: -1.7307 eV per atom
symmetry: Cmmm (65)


[7]
Here is a relaxed structure of Y5Pu3Se8 from the Alexandria database. Energies are from PBE.

Cell lengths 8.193, 8.193, 8.235 Å; angles 60.17, 60.17, 60.00 degrees
Fractional coordinates of all 16 atoms:
Se (0.251, 0.251, 0.246)
Se (0.747, 0.250, 0.753)
Se (0.250, 0.747, 0.753)
Se (0.750, 0.253, 0.247)
Se (0.749, 0.749, 0.754)
Se (0.253, 0.750, 0.247)
Se (0.250, 0.250, 0.753)
Se (0.750, 0.750, 0.247)
Y (0.500, 0.500, 0.000)
Y (0.500, 0.000, 0.000)
Y (0.500, 0.500, 0.500)
Y (0.000, 0.000, 0.000)
Y (0.000, 0.500, 0.000)
Pu (0.500, 0.000, 0.500)
Pu (0.000, 0.000, 0.500)
Pu (0.000, 0.500, 0.500)

E_tot: -130.50 eV per formula unit
M_tot: 1.108 μB/atom
uncorrected formation energy: -1.7065 eV per atom
symmetry: R-3m (166)


[8]
Here is a relaxed structure of Y4Pu3Se8 from the Alexandria database. Energies are from PBE.

Cell lengths 8.200, 8.202, 8.202 Å; angles 90.09, 119.88, 119.88 degrees
Fractional coordinates of all 15 atoms:
Pu (0.500, 0.000, 0.500)
Pu (0.500, 0.500, 0.000)
Pu (0.500, 0.500, 0.500)
Se (0.500, 0.249, 0.751)
Se (0.005, 0.751, 0.751)
Se (0.000, 0.749, 0.251)
Se (0.500, 0.751, 0.249)
Se (0.500, 0.752, 0.752)
Se (0.000, 0.251, 0.749)
Se (0.995, 0.249, 0.249)
Se (0.500, 0.248, 0.248)
Y (0.500, 0.000, 0.000)
Y (0.000, 0.500, 0.000)
Y (0.000, 0.000, 0.000)
Y (0.000, 0.000, 0.500)

E_tot: -122.79 eV per formula unit
M_tot: 1.154 μB/atom
uncorrected formation energy: -1.7372 eV per atom
symmetry: C2/m (12)